Entry from OQMD: a relaxed structure of YScFePb (PBE-GGA).

Properties
Its symmetry is No. 216. For the offset from the most stable computed form, the calculation gives 0.000 eV/atom. The calculation puts the size of the total moment at 0.02 μB/f.u.

Structure (POSCAR):
```
YScFePb
1.0
0.000 3.418 3.418
3.418 0.000 3.418
3.418 3.418 0.000
Y Sc Fe Pb
1 1 1 1
direct
0.000 0.000 0.000 Y
0.250 0.250 0.250 Sc
0.750 0.750 0.750 Fe
0.500 0.500 0.500 Pb
```